Record 1
The following is a PBE-GGA calculation of crystalline CoHgIr2 at its relaxed geometry, from Alexandria.

```
data_CoHgIr2
_cell_length_a 2.8040
_cell_length_b 2.8040
_cell_length_c 27.0865
_cell_angle_alpha 90.00
_cell_angle_beta 90.00
_cell_angle_gamma 120.00
_space_group_name_H-M_alt 'R -3 m'
_space_group_IT_number 166
_space_group_name_Hall '-R 3 2"'
loop_
_atom_site_label
_atom_site_fract_x
_atom_site_fract_y
_atom_site_fract_z
_atom_site_occupancy
Co1 0.0000 0.0000 0.0000 1
Hg1 0.0000 0.0000 0.5000 1
Ir1 0.0000 0.0000 0.2600 1
```

E_form in kJ/mol of atoms: 32.97
DOS(E_F) in states/eV/f.u.: 5.261
Total energy in eV/atom: -5.9407



Record 2
The following is a PBE-GGA calculation of crystalline CoHgIr2 at its relaxed geometry, from Alexandria.

```
data_CoHgIr2
_cell_length_a 2.774
_cell_length_b 4.606
_cell_length_c 4.874
_cell_angle_alpha 90.00
_cell_angle_beta 92.60
_cell_angle_gamma 90.00
_space_group_name_H-M_alt 'P 1 2/m 1'
_space_group_IT_number 10
loop_
_space_group_symop_operation_xyz
'x,y,z'
'-x,-y,-z'
'-x,y,-z'
'x,-y,z'
loop_
_atom_site_label
_atom_site_fract_x
_atom_site_fract_y
_atom_site_fract_z
_atom_site_occupancy
Co1 0.000 0.000 0.000 1
Hg1 0.500 0.000 0.500 1
Ir1 0.223 0.500 0.771 1
```

E_form in kJ/mol of atoms: 47.32
DOS(E_F) in states/eV/f.u.: 6.162
Total energy in eV/atom: -5.7920



Record 3
The following is a PBE-GGA calculation of crystalline CoHgIr2 at its relaxed geometry, from Alexandria.

```
data_CoHgIr2
_cell_length_a 2.818
_cell_length_b 4.700
_cell_length_c 9.408
_cell_angle_alpha 90.00
_cell_angle_beta 90.00
_cell_angle_gamma 90.00
_space_group_name_H-M_alt 'I m m 2'
_space_group_IT_number 44
loop_
_space_group_symop_operation_xyz
'x,y,z'
'-x,-y,z'
'-x,y,z'
'x,-y,z'
'x+1/2,y+1/2,z+1/2'
'-x+1/2,-y+1/2,z+1/2'
'-x+1/2,y+1/2,z+1/2'
'x+1/2,-y+1/2,z+1/2'
loop_
_atom_site_label
_atom_site_fract_x
_atom_site_fract_y
_atom_site_fract_z
_atom_site_occupancy
Co1 0.000 0.000 0.000 1
Hg1 0.000 0.500 0.759 1
Ir1 0.000 0.000 0.535 1
Ir2 0.000 0.500 0.276 1
```

E_form in kJ/mol of atoms: 52.43
DOS(E_F) in states/eV/f.u.: 5.771
Total energy in eV/atom: -5.7390